# PmGa2Ag6

An optimized crystal structure of PmGa2Ag6 (PBE-GGA, Alexandria via LeMat-Bulk).

Computed properties:
ΔE_f (meV/atom): -198
Symmetry: No. 123
Volume (Å³/cell): 174.7
N(E_F) (states/eV/cell): 3.86
E above lowest polymorph (meV per atom): 0
Raw total energy (eV/atom): -3.299
Density (g cm⁻³): 8.85

CIF file:
```
data_PmGa2Ag6
_chemical_formula_sum 'Pm1 Ga2 Ag6'
_cell_length_a 4.273
_cell_length_b 4.273
_cell_length_c 9.569
_cell_angle_alpha 90.00
_cell_angle_beta 90.00
_cell_angle_gamma 90.00
_space_group_name_H-M_alt 'P 1'
_space_group_IT_number 1
loop_
_space_group_symop_operation_xyz
'x,y,z'
loop_
_atom_site_label
_atom_site_type_symbol
_atom_site_fract_x
_atom_site_fract_y
_atom_site_fract_z
Pm1 Pm 0.000 0.000 0.000
Ga1 Ga 0.500 0.500 0.127
Ga2 Ga 0.500 0.500 0.873
Ag1 Ag 0.000 0.000 0.500
Ag2 Ag 0.000 0.500 0.289
Ag3 Ag 0.000 0.500 0.711
Ag4 Ag 0.500 0.000 0.289
Ag5 Ag 0.500 0.000 0.711
Ag6 Ag 0.500 0.500 0.500
```

# Pm4Ga2Ag5

An optimized crystal structure of Pm4Ga2Ag5 (PBE-GGA, Alexandria via LeMat-Bulk).

Computed properties:
ΔE_f (meV/atom): -316
Symmetry: No. 10
Volume (Å³/cell): 266.5
N(E_F) (states/eV/cell): 8.44
Raw total energy (eV/atom): -3.890
Density (g cm⁻³): 7.84

CIF file:
```
data_Pm4Ga2Ag5
_chemical_formula_sum 'Pm4 Ga2 Ag5'
_cell_length_a 7.274
_cell_length_b 4.227
_cell_length_c 8.700
_cell_angle_alpha 90.00
_cell_angle_beta 94.73
_cell_angle_gamma 90.00
_space_group_name_H-M_alt 'P 1'
_space_group_IT_number 1
loop_
_space_group_symop_operation_xyz
'x,y,z'
loop_
_atom_site_label
_atom_site_type_symbol
_atom_site_fract_x
_atom_site_fract_y
_atom_site_fract_z
Pm1 Pm 0.209 0.000 0.370
Pm2 Pm 0.242 0.000 0.914
Pm3 Pm 0.758 0.000 0.086
Pm4 Pm 0.791 0.000 0.630
Ga1 Ga 0.078 0.500 0.135
Ga2 Ga 0.922 0.500 0.865
Ag1 Ag 0.149 0.500 0.635
Ag2 Ag 0.450 0.500 0.167
Ag3 Ag 0.500 0.500 0.500
Ag4 Ag 0.550 0.500 0.833
Ag5 Ag 0.851 0.500 0.365
```

# Pm4Ga3Ag

An optimized crystal structure of Pm4Ga3Ag (PBE-GGA, Alexandria via LeMat-Bulk).

Computed properties:
ΔE_f (meV/atom): -489
Symmetry: No. 123
Volume (Å³/cell): 201.2
N(E_F) (states/eV/cell): 5.86
E above lowest polymorph (meV per atom): 0
Raw total energy (eV/atom): -4.356
Density (g cm⁻³): 7.41

CIF file:
```
data_Pm4Ga3Ag
_chemical_formula_sum 'Pm4 Ga3 Ag1'
_cell_length_a 5.189
_cell_length_b 5.189
_cell_length_c 7.471
_cell_angle_alpha 90.00
_cell_angle_beta 90.00
_cell_angle_gamma 90.00
_space_group_name_H-M_alt 'P 1'
_space_group_IT_number 1
loop_
_space_group_symop_operation_xyz
'x,y,z'
loop_
_atom_site_label
_atom_site_type_symbol
_atom_site_fract_x
_atom_site_fract_y
_atom_site_fract_z
Pm1 Pm 0.000 0.500 0.246
Pm2 Pm 0.000 0.500 0.754
Pm3 Pm 0.500 0.000 0.246
Pm4 Pm 0.500 0.000 0.754
Ga1 Ga 0.000 0.000 0.000
Ga2 Ga 0.000 0.000 0.500
Ga3 Ga 0.500 0.500 0.000
Ag1 Ag 0.500 0.500 0.500
```

# PmGa6Ag12

An optimized crystal structure of PmGa6Ag12 (PBE-GGA, Alexandria via LeMat-Bulk).

Computed properties:
ΔE_f (meV/atom): 3
Symmetry: No. 166
Volume (Å³/cell): 369.6
N(E_F) (states/eV/cell): 3.65
Raw total energy (eV/atom): -3.003
Density (g cm⁻³): 8.35

CIF file:
```
data_PmGa6Ag12
_chemical_formula_sum 'Pm1 Ga6 Ag12'
_cell_length_a 7.508
_cell_length_b 7.508
_cell_length_c 7.508
_cell_angle_alpha 105.06
_cell_angle_beta 105.06
_cell_angle_gamma 105.06
_space_group_name_H-M_alt 'P 1'
_space_group_IT_number 1
loop_
_space_group_symop_operation_xyz
'x,y,z'
loop_
_atom_site_label
_atom_site_type_symbol
_atom_site_fract_x
_atom_site_fract_y
_atom_site_fract_z
Pm1 Pm 0.000 0.000 0.000
Ga1 Ga 0.271 0.271 0.705
Ga2 Ga 0.271 0.705 0.271
Ga3 Ga 0.295 0.729 0.729
Ga4 Ga 0.705 0.271 0.271
Ga5 Ga 0.729 0.295 0.729
Ga6 Ga 0.729 0.729 0.295
Ag1 Ag 0.117 0.500 0.883
Ag2 Ag 0.117 0.883 0.500
Ag3 Ag 0.148 0.394 0.394
Ag4 Ag 0.394 0.148 0.394
Ag5 Ag 0.394 0.394 0.148
Ag6 Ag 0.500 0.117 0.883
Ag7 Ag 0.500 0.883 0.117
Ag8 Ag 0.606 0.606 0.852
Ag9 Ag 0.606 0.852 0.606
Ag10 Ag 0.852 0.606 0.606
Ag11 Ag 0.883 0.117 0.500
Ag12 Ag 0.883 0.500 0.117
```

# PmGaAg

An optimized crystal structure of PmGaAg (PBE-GGA, Alexandria via LeMat-Bulk).

Computed properties:
ΔE_f (meV/atom): -222
Symmetry: No. 216
Volume (Å³/cell): 75.0
N(E_F) (states/eV/cell): 5.31
E above lowest polymorph (meV per atom): 249
Raw total energy (eV/atom): -3.765
Density (g cm⁻³): 7.14

CIF file:
```
data_PmGaAg
_chemical_formula_sum 'Pm1 Ga1 Ag1'
_cell_length_a 4.734
_cell_length_b 4.734
_cell_length_c 4.734
_cell_angle_alpha 60.00
_cell_angle_beta 60.00
_cell_angle_gamma 60.00
_space_group_name_H-M_alt 'P 1'
_space_group_IT_number 1
loop_
_space_group_symop_operation_xyz
'x,y,z'
loop_
_atom_site_label
_atom_site_type_symbol
_atom_site_fract_x
_atom_site_fract_y
_atom_site_fract_z
Pm1 Pm 0.000 0.000 0.000
Ga1 Ga 0.250 0.250 0.250
Ag1 Ag 0.500 0.500 0.500
```

# Pm4Ga2Ag3

An optimized crystal structure of Pm4Ga2Ag3 (PBE-GGA, Alexandria via LeMat-Bulk).

Computed properties:
ΔE_f (meV/atom): -315
Symmetry: No. 12
Volume (Å³/cell): 220.2
N(E_F) (states/eV/cell): 10.01
Raw total energy (eV/atom): -4.049
Density (g cm⁻³): 7.86

CIF file:
```
data_Pm4Ga2Ag3
_chemical_formula_sum 'Pm4 Ga2 Ag3'
_cell_length_a 5.085
_cell_length_b 5.085
_cell_length_c 9.837
_cell_angle_alpha 90.09
_cell_angle_beta 90.09
_cell_angle_gamma 59.98
_space_group_name_H-M_alt 'P 1'
_space_group_IT_number 1
loop_
_space_group_symop_operation_xyz
'x,y,z'
loop_
_atom_site_label
_atom_site_type_symbol
_atom_site_fract_x
_atom_site_fract_y
_atom_site_fract_z
Pm1 Pm 0.000 0.000 0.163
Pm2 Pm 0.000 0.000 0.837
Pm3 Pm 0.334 0.334 0.618
Pm4 Pm 0.666 0.666 0.382
Ga1 Ga 0.333 0.333 0.283
Ga2 Ga 0.667 0.667 0.717
Ag1 Ag 0.000 0.000 0.500
Ag2 Ag 0.333 0.333 0.998
Ag3 Ag 0.667 0.667 0.002
```